A plane-wave DFT calculation with PBE-GGA was carried out for crystalline La3Mg3Tl2Pt at its relaxed geometry.

Computed properties:
ρ (g cm⁻³): 7.5
SG: P-62m
Uncorrected energy (eV per atom): -3.8905

```
La3Mg3Tl2Pt
1.0
-4.9625 4.5233 3.7091
-2.5067 -4.7975 -5.4355
-0.6330 -3.3802 3.2753
La Tl Mg Pt
3 2 3 1
Cartesian
-4.5248 -0.1661 -1.0458
-1.9562 1.7831 1.4622
-0.9882 -1.8912 -2.1427
-3.6418 -3.3806 -0.7496
-4.4604 -0.2737 2.2986
-2.0077 -1.7522 1.2468
-4.1553 1.8090 4.5069
-2.2556 -5.4013 -2.5671
0.0000 0.0000 0.0000
```

=====

A plane-wave DFT calculation with PBE-GGA was carried out for crystalline Th2Sc at its relaxed geometry.

Computed properties:
Calculated formation energy (eV/atom): 2.66
ρ (g cm⁻³): 4.1
SG: Fd-3m
Uncorrected energy (eV per atom): -4.3867

```
Th2Sc
1.0
4.1908 2.4195 6.8435
-4.1908 2.4195 6.8435
0.0000 -4.8391 6.8435
Sc Th
2 4
Cartesian
0.0000 0.0000 10.2652
0.0000 0.0000 5.1326
-2.0954 1.2098 11.1207
0.0000 0.0000 7.6989
2.0954 1.2098 11.1207
0.0000 -2.4195 11.1207
```

=====

A plane-wave DFT calculation with PBE-GGA was carried out for crystalline DyEr2FeNi8 at its relaxed geometry.

Computed properties:
Calculated formation energy (eV/atom): -0.35
ρ (g cm⁻³): 10.0
SG: R-3m
Uncorrected energy (eV per atom): -5.9009

```
DyEr2FeNi8
1.0
0.2219 -8.4284 1.2819
2.4938 -7.5757 -3.0200
4.9070 -6.8656 1.2305
Ni Dy Er Fe
8 1 2 1
Cartesian
2.5396 -7.6193 -0.1691
4.3358 -9.1305 -0.9364
1.9954 -9.9112 -0.9108
5.6273 -12.9585 0.4032
3.2009 -9.5565 1.2125
3.2869 -13.7392 0.4288
5.0831 -15.2504 -0.3385
4.4218 -13.3132 -1.7201
0.0000 0.0000 0.0000
6.5553 -19.6674 -0.4365
1.0674 -3.2023 -0.0711
3.8113 -11.4349 -0.2538
```

=====

A plane-wave DFT calculation with PBE-GGA was carried out for crystalline Cd6Re2C at its relaxed geometry.

Computed properties:
ρ (g cm⁻³): 10.8
SG: Fm-3m
Uncorrected energy (eV per atom): -3.2306

```
Cd6Re2C
1.0
0.0000 4.3288 4.3288
4.3288 0.0000 4.3288
4.3288 4.3288 0.0000
Cd Re C
6 2 1
Cartesian
4.3288 2.2622 4.3288
4.3288 6.3953 4.3288
2.2622 4.3288 4.3288
6.3953 4.3288 4.3288
4.3288 4.3288 2.2622
4.3288 4.3288 6.3953
6.4932 6.4932 6.4932
2.1644 2.1644 2.1644
0.0000 0.0000 0.0000
```

=====

A plane-wave DFT calculation with PBE-GGA was carried out for crystalline KLiPuSe3 at its relaxed geometry.

Computed properties:
ρ (g cm⁻³): 5.3
SG: Cmcm
Uncorrected energy (eV per atom): -5.9348

```
KLiPuSe3
1.0
-2.1485 7.0717 -0.8963
0.8422 -6.7063 -3.1216
-10.0323 -2.6653 3.0192
Se K Pu Li
6 2 2 2
Cartesian
-8.3641 -0.9561 0.3944
-0.0603 -5.1274 -2.6846
-2.9745 -1.3438 -1.3931
-11.2782 2.8275 1.6858
-7.3207 3.8789 0.4949
-4.0178 -6.1788 -1.4936
-7.4119 -5.3428 -0.3141
-3.9267 3.0429 -0.6846
-5.6693 -1.1500 -0.4994
-0.6531 0.1827 -2.0089
-9.5785 4.6388 1.2980
-1.7600 -6.9387 -2.2967
```

=====

A plane-wave DFT calculation with PBE-GGA was carried out for crystalline ErAlCo at its relaxed geometry.

Computed properties:
ρ (g cm⁻³): 7.0
SG: F-43m
Uncorrected energy (eV per atom): -4.8538

```
ErAlCo
1.0
-0.9155 -4.1648 -1.0813
-2.8024 -0.8554 -3.2813
1.4913 -1.6677 -3.7878
Co Al Er
1 1 1
Cartesian
-0.5567 -1.6720 -2.0376
0.0000 0.0000 0.0000
-1.6700 -5.0159 -6.1128
```

=====

A plane-wave DFT calculation with PBE-GGA was carried out for crystalline Pr2ErAg4Sn4 at its relaxed geometry.

Computed properties:
ρ (g cm⁻³): 8.5
SG: Immm
Uncorrected energy (eV per atom): -4.2879

```
Pr2ErAg4Sn4
1.0
-2.3642 3.6115 7.7681
2.3642 -3.6115 7.7681
2.3642 3.6115 -7.7681
Sn Ag Pr Er
4 4 2 1
Cartesian
0.0000 0.0000 3.2515
0.0000 1.4673 7.7681
2.3642 2.1441 0.0000
0.0000 0.0000 12.2846
2.3642 1.4387 -2.6750
0.0000 2.1727 10.4430
2.3642 1.4388 2.6750
0.0000 2.1727 5.0931
0.0000 3.6115 1.9912
2.3642 0.0000 5.7768
0.0000 0.0000 0.0000
```

=====

A plane-wave DFT calculation with PBE-GGA was carried out for crystalline Er2LuIn at its relaxed geometry.

Computed properties:
ρ (g cm⁻³): 9.6
SG: P4/mmm
Uncorrected energy (eV per atom): -4.3532

```
Er2LuIn
1.0
4.7685 0.0000 0.0000
0.0000 4.7685 0.0000
0.0000 0.0000 4.7739
In Er Lu
1 2 1
Cartesian
0.0000 0.0000 0.0000
0.0000 2.3842 2.3869
2.3842 0.0000 2.3869
2.3842 2.3842 0.0000
```

=====

A plane-wave DFT calculation with PBE-GGA was carried out for crystalline HfBeCo at its relaxed geometry.

Computed properties:
Energy above the lowest structure with this stoichiometry (meV per atom): 460
ρ (g cm⁻³): 8.9
SG: F-43m
Uncorrected energy (eV per atom): -6.8469

```
HfBeCo
1.0
0.0000 2.8384 2.8384
2.8384 0.0000 2.8384
2.8384 2.8384 0.0000
Be Co Hf
1 1 1
Cartesian
1.4192 1.4192 1.4192
0.0000 0.0000 0.0000
4.2575 4.2575 4.2575
```

=====

A plane-wave DFT calculation with PBE-GGA was carried out for crystalline LiPrEr at its relaxed geometry.

Computed properties:
Energy above the lowest structure with this stoichiometry (meV per atom): 0
ρ (g cm⁻³): 5.6
SG: F-43m
Uncorrected energy (eV per atom): -3.2706

```
LiPrEr
1.0
2.5456 1.4697 4.1569
-2.5456 1.4697 4.1569
0.0000 -2.9394 4.1569
Li Pr Er
1 1 1
Cartesian
0.0000 0.0000 0.0000
0.0000 0.0000 3.1177
0.0000 0.0000 9.3530
```

=====

A plane-wave DFT calculation with PBE-GGA was carried out for crystalline HgTe2 at its relaxed geometry.

Computed properties:
Energy above the lowest structure with this stoichiometry (meV per atom): 149
ρ (g cm⁻³): 8.1
SG: Fd-3m
Uncorrected energy (eV per atom): -1.9840

```
HgTe2
1.0
-0.5344 -5.9344 -2.4160
-5.6980 -2.1169 -2.0953
-1.0041 -0.8293 -6.2963
Te Hg
4 2
Cartesian
-4.2556 -2.5831 -5.5468
-1.6738 -4.4919 -5.7071
-4.5228 -5.5503 -6.7548
-4.0208 -5.1357 -3.6066
0.0000 0.0000 0.0000
-1.8091 -2.2201 -2.7019
```

=====

A plane-wave DFT calculation with PBE-GGA was carried out for crystalline PW4SN2 at its relaxed geometry.

Computed properties:
ρ (g cm⁻³): 13.9
SG: P-6m2
Uncorrected energy (eV per atom): -9.5915

```
PW4SN2
1.0
2.9546 0.0000 0.0000
-1.4773 2.5587 0.0000
0.0000 0.0000 13.0211
S W P N
1 4 1 2
Cartesian
1.4773 0.8529 6.5106
0.0000 0.0000 8.3627
1.4773 0.8529 1.8082
0.0000 0.0000 4.6585
1.4773 0.8529 11.2129
0.0000 0.0000 0.0000
0.0000 1.7058 9.7785
0.0000 1.7058 3.2426
```

=====

A plane-wave DFT calculation with PBE-GGA was carried out for crystalline LiRe3S5 at its relaxed geometry.

Computed properties:
ρ (g cm⁻³): 6.5
SG: P6/mmm
Uncorrected energy (eV per atom): -6.6139

```
LiRe3S5
1.0
5.6280 0.0000 0.0000
-2.8140 4.8740 0.0000
0.0000 0.0000 6.7876
Re S Li
3 5 1
Cartesian
1.4070 2.4370 3.3938
2.8140 0.0000 3.3938
-1.4070 2.4370 3.3938
0.0000 3.2493 5.1475
2.8140 1.6247 5.1475
0.0000 0.0000 3.3938
0.0000 3.2493 1.6401
2.8140 1.6247 1.6401
0.0000 0.0000 0.0000
```

=====

A plane-wave DFT calculation with PBE-GGA was carried out for crystalline MgGaRe at its relaxed geometry.

Computed properties:
Energy above the lowest structure with this stoichiometry (meV per atom): 0
ρ (g cm⁻³): 8.5
SG: F-43m
Uncorrected energy (eV per atom): -5.0097

```
MgGaRe
1.0
0.0000 3.0080 3.0080
3.0080 0.0000 3.0080
3.0080 3.0080 0.0000
Re Ga Mg
1 1 1
Cartesian
4.5121 4.5121 4.5121
0.0000 0.0000 0.0000
1.5040 1.5040 1.5040
```

=====

A plane-wave DFT calculation with PBE-GGA was carried out for crystalline Li6PtAu at its relaxed geometry.

Computed properties:
ρ (g cm⁻³): 6.4
SG: P4/mmm
Uncorrected energy (eV per atom): -3.0124

```
Li6PtAu
1.0
4.3099 0.0000 0.0000
0.0000 4.3099 0.0000
0.0000 0.0000 6.0779
Li Au Pt
6 1 1
Cartesian
0.0000 2.1549 1.5710
2.1549 0.0000 4.5069
0.0000 2.1549 4.5069
0.0000 0.0000 3.0390
2.1549 0.0000 1.5710
2.1549 2.1549 0.0000
0.0000 0.0000 0.0000
2.1549 2.1549 3.0390
```

=====

A plane-wave DFT calculation with PBE-GGA was carried out for crystalline UAlIn at its relaxed geometry.

Computed properties:
ρ (g cm⁻³): 7.3
SG: F-43m
Uncorrected energy (eV per atom): -5.1656

```
UAlIn
1.0
3.1585 1.7010 3.4266
-1.6763 2.7594 3.7666
-0.0853 -1.8658 4.5960
Al U In
1 1 1
Cartesian
0.0000 0.0000 0.0000
0.3492 0.6487 2.9473
0.6985 1.2973 5.8946
```

=====

A plane-wave DFT calculation with PBE-GGA was carried out for crystalline DyPPd at its relaxed geometry.

Computed properties:
ρ (g cm⁻³): 9.2
SG: Pnma
Uncorrected energy (eV per atom): -6.3352

```
DyPPd
1.0
-4.2517 3.6252 4.1048
-1.9104 -3.3872 1.0126
4.8991 -0.9858 5.9451
Pd Dy P
4 4 4
Cartesian
-0.1792 -1.8195 5.5357
-0.8117 -0.3679 1.2248
-0.4513 -0.3800 9.8377
-1.0838 1.0717 5.5268
-2.5125 -1.0202 3.8076
-4.0298 0.6699 6.5984
1.2494 0.2724 7.2549
2.7668 -1.4177 4.4641
-3.0734 1.7570 4.0655
1.8103 -2.5048 6.9970
-1.5661 -0.4406 7.5319
0.3030 -0.3072 3.5306
```

=====

A plane-wave DFT calculation with PBE-GGA was carried out for crystalline TaGaFe at its relaxed geometry.

Computed properties:
ρ (g cm⁻³): 9.5
SG: F-43m
Uncorrected energy (eV per atom): -7.1010

```
TaGaFe
1.0
2.1129 1.2199 3.4504
-2.1129 1.2199 3.4504
0.0000 -2.4398 3.4504
Ga Ta Fe
1 1 1
Cartesian
0.0000 0.0000 7.7634
0.0000 0.0000 0.0000
0.0000 0.0000 2.5878
```

=====

A plane-wave DFT calculation with PBE-GGA was carried out for crystalline Mg12Mo at its relaxed geometry.

Computed properties:
ρ (g cm⁻³): 2.2
SG: I4/mmm
Uncorrected energy (eV per atom): -1.9623

```
Mg12Mo
1.0
5.9845 3.8277 2.8852
-6.9842 1.8136 -2.5925
-2.1420 -3.6288 6.4057
Mg Mo
12 1
Cartesian
-5.9799 -1.1894 2.4985
-3.4921 0.9068 -1.2963
2.9922 1.9139 1.4426
-1.0710 -1.8144 3.2028
-0.7753 -0.4369 5.7721
1.3247 0.0686 3.2032
-3.4278 -0.8488 4.6518
2.5177 0.1304 6.0877
-1.5709 1.0063 3.3492
-2.3665 2.4494 0.9263
0.2860 2.8614 2.0466
-3.1464 -0.6258 1.3147
0.0000 0.0000 0.0000
```

=====

A plane-wave DFT calculation with PBE-GGA was carried out for crystalline Ta2AlB at its relaxed geometry.

Computed properties:
ρ (g cm⁻³): 10.9
SG: P6_3/mmc
Uncorrected energy (eV per atom): -9.0081

```
Ta2AlB
1.0
-3.1712 0.1369 -0.1385
1.6855 -0.5022 -2.6460
-0.6873 -13.7310 2.1683
Ta B Al
4 2 2
Cartesian
-2.1769 -12.5536 0.9960
-1.9587 -8.1953 0.3078
-0.2143 -5.9011 -0.9240
0.0039 -1.5428 -1.6122
0.0000 0.0000 0.0000
-0.3437 -6.8655 1.0842
-0.4489 -10.5874 -0.1839
-1.7241 -3.5089 -0.4323
```